First-principles (PBE-GGA) data for crystalline Pr5ErBi6 at its relaxed geometry, as listed in Alexandria.

a b c (Å): 7.9875 7.9875 7.9882
angles (deg): 99.62 99.62 120.02
With the nearest neighbours (Å) after each atom.
Fractional coordinates of all 12 atoms:
Pr 0.0000 0.0000 0.0000  6 Bi 3.26-3.32
Pr 0.1658 0.8342 0.5000  6 Bi 3.26-3.27
Pr 0.3306 0.6694 0.0000  6 Bi 3.26-3.30
Pr 0.6694 0.3306 0.0000  6 Bi 3.26-3.30
Pr 0.8342 0.1658 0.5000  6 Bi 3.26-3.27
Er 0.5000 0.5000 0.5000  6 Bi 3.19-3.20
Bi 0.0921 0.4187 0.2552  1 Er 3.19, 5 Pr 3.26-3.30
Bi 0.2565 0.2565 0.7475  1 Er 3.20, 5 Pr 3.26-3.32
Bi 0.4187 0.0921 0.2552  1 Er 3.19, 5 Pr 3.26-3.30
Bi 0.5813 0.9079 0.7448  1 Er 3.19, 5 Pr 3.26-3.30
Bi 0.7435 0.7435 0.2525  1 Er 3.20, 5 Pr 3.26-3.32
Bi 0.9079 0.5813 0.7448  1 Er 3.19, 5 Pr 3.26-3.30

Values from the calculation:
Total moment: 0.0 μB/f.u.
Calculated volume: 34.66 Å³ per atom
Raw total energy: -0.193 Ha/atom
Symmetry: C2/m
Energy of formation from the pure elements: -11.2 eV per formula unit